Entry 1:
Crystalline Hg2Sb at its relaxed geometry, computed with GGA-PBE.

Size of the total moment (μB per atom): 0.0000
Distance to the lowest polymorph of the same formula (meV per atom): 45
DOS at the Fermi energy (states/eV/atom): 0.443
Formation energy without anion corrections (eV/atom): 0.142
Space group: I4_1/amd, No. 141

Cell lengths 16.7265, 16.7265, 16.7265 Å; angles 169.24, 169.24, 15.24 degrees
Atoms (fractional coordinates):
Hg1 0.3330 0.8330 0.5000
Hg2 0.5830 0.5830 0.0000
Sb1 0.0000 0.0000 0.0000
Sb2 0.7500 0.2500 0.5000
Hg3 0.4170 0.4170 0.0000
Hg4 0.1670 0.6670 0.5000

Entry 2:
Crystalline SmHo6In at its relaxed geometry, computed with GGA-PBE.

Size of the total moment (μB per atom): 0.0001
Distance to the lowest polymorph of the same formula (meV per atom): 0
DOS at the Fermi energy (states/eV/atom): 1.043
Space group: P4/mmm, No. 123
Calculated formation energy (eV per atom): -0.11

Cell lengths 4.8918, 4.8918, 9.9922 Å; angles 90.00, 90.00, 90.00 degrees
Atoms (fractional coordinates):
Ho1 0.5000 0.0000 0.2429
Ho2 0.0000 0.5000 0.2429
Ho3 0.5000 0.5000 0.5000
Ho4 0.5000 0.0000 0.7571
In1 0.0000 0.0000 0.0000
Sm1 0.0000 0.0000 0.5000
Ho5 0.0000 0.5000 0.7571
Ho6 0.5000 0.5000 0.0000

Q: Which value of size of the total moment does entry 1 give?
A: 0.0000 μB per atom

Q: Number 1 is which compound?
A: Hg2Sb

Copy entry 2 word for word.
Crystalline SmHo6In at its relaxed geometry, computed with GGA-PBE.

Size of the total moment (μB per atom): 0.0001
Distance to the lowest polymorph of the same formula (meV per atom): 0
DOS at the Fermi energy (states/eV/atom): 1.043
Space group: P4/mmm, No. 123
Calculated formation energy (eV per atom): -0.11

Cell lengths 4.8918, 4.8918, 9.9922 Å; angles 90.00, 90.00, 90.00 degrees
Atoms (fractional coordinates):
Ho1 0.5000 0.0000 0.2429
Ho2 0.0000 0.5000 0.2429
Ho3 0.5000 0.5000 0.5000
Ho4 0.5000 0.0000 0.7571
In1 0.0000 0.0000 0.0000
Sm1 0.0000 0.0000 0.5000
Ho5 0.0000 0.5000 0.7571
Ho6 0.5000 0.5000 0.0000